Ce2NdOs9, optimized geometry, DFT PBE; electronic total energy = -9.853 eV per atom; energy relative to the elements = -0.045 eV per atom; N(E_F) = 13.9 states/eV/f.u.
1.0
-4.842 -1.955 1.211
-0.618 -2.486 4.642
-4.001 6.084 5.780
Os Ce Nd
9 2 1
direct
0.500 0.500 0.500 Os
0.398 0.407 0.262 Os
0.373 0.351 0.994 Os
0.422 0.916 0.241 Os
0.627 0.649 0.006 Os
0.081 0.573 0.766 Os
0.578 0.084 0.759 Os
0.602 0.593 0.738 Os
0.919 0.427 0.234 Os
0.861 0.865 0.422 Ce
0.139 0.135 0.578 Ce
0.000 0.000 0.000 Nd